Material: CaDy2Os
Method: DFT, PBE
State: relaxed Values from VASP.

Calculated values
Volume ... 114 Å³/cell
ΔE_f ... -55 kJ/mol of formula units
E ... -5.7512 eV/atom
Size of the total moment ... 0.0 μB per formula unit
Crystal system ... tetragonal
Space-group type ... P4/mmm (123)

```
&SYSTEM
  ibrav = 0, nat = 4, ntyp = 3
/
ATOMIC_SPECIES
Dy 162.50 Dy.upf
Ca 40.08 Ca.upf
Os 190.23 Os.upf
CELL_PARAMETERS angstrom
-2.6420 -0.3023 2.1604
-2.0645 -0.7499 -2.6296
1.9953 -9.4246 1.1212
ATOMIC_POSITIONS angstrom
Dy 1.6563 -7.8234 0.9307
Ca -1.3556 -5.2384 0.3260
Dy 0.3390 -1.6012 0.1905
Os -2.3532 -0.5261 -0.2346
```